HfCoO2 GGA+U relaxed; volume = 111 Å³ per cell; space group = I-42d, No. 122; energy above the lowest structure with this stoichiometry = 157.0 meV per atom; VASP energy = -7.962 eV/atom
1.0
4.712 0.000 0.000
0.000 4.712 0.000
2.356 2.356 5.005
Co O Hf
2 4 2
Cartesian
2.356 4.712 2.502
2.356 2.356 0.000
3.644 1.178 1.251
3.534 3.424 3.753
5.890 6.000 3.753
1.068 3.534 1.251
4.712 2.356 2.502
0.000 0.000 0.000